Entry 1:
DFT (PBE-GGA) results for a relaxed Ba2MnCl2 crystal.

## Properties
Excess energy over the best structure of this formula in the dataset ... 0 meV/atom
Total magnetization ... 4.4 μB per cell
Total DFT energy (no corrections) ... -4.336 eV per atom
ΔE_f (raw) ... -479.6 kJ/mol of formula units

Cell: 4.9272 4.9272 8.7119 Å, 73.57 73.57 90.00°
Site moments in Bohr magnetons follow the coordinates.
Fractional positions:
Cl 0.2500 0.7500 0.5000  0.00
Mn 0.0000 0.0000 0.0000  4.28
Cl 0.7500 0.2500 0.5000  0.00
Ba 0.3698 0.3698 0.2604  -0.03
Ba 0.6302 0.6302 0.7396  -0.03

Entry 2:
DFT (PBE-GGA) results for a relaxed BaMn2Cl2 crystal.

## Properties
Total magnetization ... 8.0 μB per cell
Total DFT energy (no corrections) ... -5.240 eV per atom
ΔE_f (raw) ... -216.8 kJ/mol of formula units

Cell: 6.2750 6.2750 6.2750 Å, 135.13 135.13 65.33°
Site moments in Bohr magnetons follow the coordinates.
Fractional positions:
Mn 0.3831 0.3831 0.0000  3.84
Ba 0.0000 0.0000 0.0000  -0.10
Cl 0.2500 0.7500 0.5000  0.04
Cl 0.7500 0.2500 0.5000  0.04
Mn 0.6169 0.6169 0.0000  3.84

- The lowest ΔE_f (raw) belongs to which entry?
  Ba2MnCl2

Please write out number 1 again, unchanged.
DFT (PBE-GGA) results for a relaxed Ba2MnCl2 crystal.

## Properties
Excess energy over the best structure of this formula in the dataset ... 0 meV/atom
Total magnetization ... 4.4 μB per cell
Total DFT energy (no corrections) ... -4.336 eV per atom
ΔE_f (raw) ... -479.6 kJ/mol of formula units

Cell: 4.9272 4.9272 8.7119 Å, 73.57 73.57 90.00°
Site moments in Bohr magnetons follow the coordinates.
Fractional positions:
Cl 0.2500 0.7500 0.5000  0.00
Mn 0.0000 0.0000 0.0000  4.28
Cl 0.7500 0.2500 0.5000  0.00
Ba 0.3698 0.3698 0.2604  -0.03
Ba 0.6302 0.6302 0.7396  -0.03

- Which formula does entry 2 have?
  BaMn2Cl2

- What is the total magnetization in the first record?
  4.4 μB per cell